# PBE NbAgB4, optimized geometry
data_NbAgB4
_chemical_formula_sum 'Nb1 Ag1 B4'
_space_group_name_H-M_alt 'P 1'
_space_group_IT_number 1
_cell_length_a 4.7839
_cell_length_b 4.7839
_cell_length_c 4.7839
_cell_angle_alpha 142.53
_cell_angle_beta 113.69
_cell_angle_gamma 78.73
loop_
_space_group_symop_operation_xyz
'x,y,z'
loop_
_atom_site_label
_atom_site_type_symbol
_atom_site_fract_x
_atom_site_fract_y
_atom_site_fract_z
Ag1 Ag 0.0000 0.0000 0.0000
B1 B 0.5626 0.2372 0.3254
B2 B 0.0882 0.7628 0.3254
B3 B 0.9118 0.2372 0.6746
B4 B 0.4374 0.7628 0.6746
Nb1 Nb 0.5000 0.5000 0.0000
# Final energy (eV per atom): -6.58
# Energy relative to the lowest polymorph listed for this composition (kJ/mol of atoms): 14.0

***

# PBE Nb2AgB, optimized geometry
data_Nb2AgB
_chemical_formula_sum 'Nb2 Ag1 B1'
_space_group_name_H-M_alt 'P 1'
_space_group_IT_number 1
_cell_length_a 4.4650
_cell_length_b 4.4650
_cell_length_c 4.4650
_cell_angle_alpha 60.00
_cell_angle_beta 60.00
_cell_angle_gamma 60.00
loop_
_space_group_symop_operation_xyz
'x,y,z'
loop_
_atom_site_label
_atom_site_type_symbol
_atom_site_fract_x
_atom_site_fract_y
_atom_site_fract_z
Ag1 Ag 0.2500 0.2500 0.2500
B1 B 0.5000 0.5000 0.5000
Nb1 Nb 0.0000 0.0000 0.0000
Nb2 Nb 0.7500 0.7500 0.7500
# Final energy (eV per atom): -6.42

***

# PBE NbAgB4, optimized geometry
data_NbAgB4
_chemical_formula_sum 'Nb1 Ag1 B4'
_space_group_name_H-M_alt 'P 1'
_space_group_IT_number 1
_cell_length_a 3.0376
_cell_length_b 3.0376
_cell_length_c 7.7697
_cell_angle_alpha 90.00
_cell_angle_beta 90.00
_cell_angle_gamma 120.00
loop_
_space_group_symop_operation_xyz
'x,y,z'
loop_
_atom_site_label
_atom_site_type_symbol
_atom_site_fract_x
_atom_site_fract_y
_atom_site_fract_z
Ag1 Ag 0.0000 0.0000 0.0000
B1 B 0.6667 0.3333 0.2829
B2 B 0.3333 0.6667 0.2829
B3 B 0.6667 0.3333 0.7171
B4 B 0.3333 0.6667 0.7171
Nb1 Nb 0.0000 0.0000 0.5000
# Final energy (eV per atom): -6.72
# Energy relative to the lowest polymorph listed for this composition (kJ/mol of atoms): 0.0

***

# PBE NbNiAgB, optimized geometry
data_NbNiAgB
_chemical_formula_sum 'Nb1 Ni1 Ag1 B1'
_space_group_name_H-M_alt 'P 1'
_space_group_IT_number 1
_cell_length_a 4.1899
_cell_length_b 4.1899
_cell_length_c 4.1899
_cell_angle_alpha 60.00
_cell_angle_beta 60.00
_cell_angle_gamma 60.00
loop_
_space_group_symop_operation_xyz
'x,y,z'
loop_
_atom_site_label
_atom_site_type_symbol
_atom_site_fract_x
_atom_site_fract_y
_atom_site_fract_z
Ag1 Ag 0.7500 0.7500 0.7500
B1 B 0.0000 0.0000 0.0000
Nb1 Nb 0.2500 0.2500 0.2500
Ni1 Ni 0.5000 0.5000 0.5000
# Final energy (eV per atom): -5.95
# Energy relative to the lowest polymorph listed for this composition (kJ/mol of atoms): 0.0

***

Number 1: magnetic moment 0.00 μB per formula unit. Number 2: magnetic moment 0.04 μB per formula unit. Number 3: magnetic moment 0.00 μB per formula unit. Number 4: magnetic moment 0.00 μB per formula unit.